Entry 1:
# MoRhW | Alexandria | PBE-GGA | relaxed
data_MoRhW
_cell_length_a 4.537
_cell_length_b 3.122
_cell_length_c 6.927
_cell_angle_alpha 90.00
_cell_angle_beta 109.05
_cell_angle_gamma 90.00
_space_group_name_H-M_alt 'C 1 m 1'
_space_group_IT_number 8
_space_group_name_Hall 'C -2y'
loop_
_atom_site_label
_atom_site_type_symbol
_atom_site_fract_x
_atom_site_fract_y
_atom_site_fract_z
_atom_site_occupancy
Mo1 Mo 0.000 0.000 0.000 1
Rh1 Rh 0.457 0.000 0.669 1
W1 W 0.171 0.500 0.339 1
# DOS at the Fermi energy = 0.711 states/eV/atom
# E_tot = -10.397 eV/atom
# Offset from the most stable computed form = 40.0 meV/atom
# Formation energy = -0.019 eV/atom
# Size of the total moment = 0.00 μB per atom


Entry 2:
# EuThNi | Alexandria | PBE-GGA | relaxed
data_EuThNi
_cell_length_a 3.9003
_cell_length_b 3.9003
_cell_length_c 6.6533
_cell_angle_alpha 90.00
_cell_angle_beta 90.00
_cell_angle_gamma 120.00
_space_group_name_H-M_alt 'P 3 m 1'
_space_group_IT_number 156
_space_group_name_Hall 'P 3 -2"'
loop_
_atom_site_label
_atom_site_type_symbol
_atom_site_fract_x
_atom_site_fract_y
_atom_site_fract_z
_atom_site_occupancy
Eu1 Eu 0.0000 0.0000 0.0000 1
Th1 Th 0.3333 0.6667 0.5105 1
Ni1 Ni 0.6667 0.3333 0.2864 1
# DOS at the Fermi energy = 1.046 states/eV/atom
# E_tot = -7.878 eV/atom
# Offset from the most stable computed form = 45.5 meV/atom
# Formation energy = -0.053 eV/atom
# Size of the total moment = 2.48 μB per atom